MgTlBi2 | PBE | relaxed

Geometry as POSCAR:
```
MgTlBi2
1.0
5.156 0.000 0.000
2.578 4.465 0.000
2.578 1.488 5.624
Mg Tl Bi
1 1 2
Direct
0.679 0.679 0.964
0.493 0.493 0.522
0.261 0.261 0.217
0.068 0.068 0.797
```

Computed properties:
**Magnetic moment**: 0.00 μB/cell
**DOS at the Fermi energy**: 2.454 states/eV/f.u.
**Formation energy**: 0.014 eV per atom
**Space-group type**: R3m (160)